A geometry-optimized CeTmIrRu structure. Source: Alexandria, functional PBE.

## Properties
E_form ... -0.60 eV per atom
Excess energy over the best structure of this formula in the dataset ... 0.000 eV per atom
D(E_F) ... 2.9 states/eV/f.u.
Magnetic moment ... 0.0002 μB/atom

Cell and atoms, written as CIF:
```
data_CeTmIrRu
_symmetry_space_group_name_H-M 'P 4 m m'
_symmetry_Int_Tables_number 99
_cell_length_a 3.471
_cell_length_b 3.471
_cell_length_c 6.677
_cell_angle_alpha 90.00
_cell_angle_beta 90.00
_cell_angle_gamma 90.00
loop_
_symmetry_equiv_pos_as_xyz
'x,y,z'
'-y,x,z'
'-x,-y,z'
'y,-x,z'
'-x,y,z'
'y,x,z'
'x,-y,z'
'-y,-x,z'
loop_
_atom_site_label
_atom_site_fract_x
_atom_site_fract_y
_atom_site_fract_z
Ce1 0.000 0.000 0.000
Tm1 0.000 0.000 0.502
Ir1 0.500 0.500 0.754
Ru1 0.500 0.500 0.242
```